Arrangement 1

Entry from Alexandria: RbSF3 after structural relaxation (GGA-PBE).

Lattice parameters (Å, degrees): 6.5456 6.5456 6.6000 60.27 60.27 90.00
Site moments in Bohr magnetons follow the coordinates.
Element x y z (fractional)
S (0.0000, 0.0000, 0.0000)  0.75
S (0.5000, 0.5000, 0.0000)  0.25
F (0.7018, 0.2982, 0.0000)  0.06
F (0.7018, 0.7018, 0.0000)  0.06
F (0.8069, 0.8069, 0.3862)  0.10
F (0.2982, 0.2982, 0.0000)  0.06
F (0.2982, 0.7018, 0.0000)  0.06
F (0.1931, 0.1931, 0.6138)  0.10
Rb (0.7500, 0.2500, 0.5000)  0.00
Rb (0.2500, 0.7500, 0.5000)  0.00


Arrangement 2

Entry from Alexandria: RbSF3 after structural relaxation (GGA-PBE).

Lattice parameters (Å, degrees): 5.0189 5.0189 5.0189 90.00 90.00 90.00
Site moments in Bohr magnetons follow the coordinates.
Element x y z (fractional)
F (0.0000, 0.0000, 0.5000)  -0.36
F (0.0000, 0.5000, 0.0000)  -0.14
F (0.5000, 0.0000, 0.0000)  0.05
S (0.5000, 0.5000, 0.5000)  1.64
Rb (0.0000, 0.0000, 0.0000)  -0.12


Order of stability, best first: arrangement 1, arrangement 2